[1]
{"formula": "AcHf2Sb", "functional": "PBE", "state": "optimized geometry", "total_energy_ev_per_atom": -6.64, "vol_a3_per_cell": 139.4, "lattice_angstrom": [[4.9487, 0.0000, 0.0000], [-2.4744, 4.2857, 0.0000], [0.0000, 0.0000, 6.5713]], "species": ["Ac", "Hf", "Hf", "Sb"], "frac_coords": [[0.0000, 0.0000, 0.0000], [0.0000, 0.0000, 0.5171], [0.3333, 0.6667, 0.7055], [0.6667, 0.3333, 0.5913]]}

[2]
{"formula": "ErAlGe", "functional": "PBE", "state": "optimized geometry", "total_energy_ev_per_atom": -4.87, "vol_a3_per_cell": 180.4, "lattice_angstrom": [[7.1107, 0.0000, 0.0000], [-3.5553, 6.1580, 0.0000], [0.0000, 0.0000, 4.1202]], "species": ["Er", "Er", "Er", "Al", "Al", "Al", "Ge", "Ge", "Ge"], "frac_coords": [[0.0000, 0.6091, 0.0000], [0.3909, 0.3909, 0.0000], [0.6091, 0.0000, 0.0000], [0.0000, 0.2571, 0.5000], [0.2571, 0.0000, 0.5000], [0.7429, 0.7429, 0.5000], [0.0000, 0.0000, 0.0000], [0.3333, 0.6667, 0.5000], [0.6667, 0.3333, 0.5000]]}

[3]
{"formula": "TmInHgTe3", "functional": "PBE", "state": "optimized geometry", "total_energy_ev_per_atom": -3.45, "polymorph_energy_ev_per_fu": 0.213, "vol_a3_per_cell": 783.9, "lattice_angstrom": [[15.0341, 0.0000, 0.0000], [0.0000, 4.4284, 0.0000], [0.0000, 0.0000, 11.7748]], "species": ["Tm", "Tm", "Tm", "Tm", "In", "In", "In", "In", "Hg", "Hg", "Hg", "Hg", "Te", "Te", "Te", "Te", "Te", "Te", "Te", "Te", "Te", "Te", "Te", "Te"], "frac_coords": [[0.0255, 0.2500, 0.1583], [0.4745, 0.7500, 0.6583], [0.5255, 0.2500, 0.3417], [0.9745, 0.7500, 0.8417], [0.2388, 0.2500, 0.4492], [0.2612, 0.7500, 0.9492], [0.7388, 0.2500, 0.0508], [0.7612, 0.7500, 0.5508], [0.0213, 0.7500, 0.3922], [0.4787, 0.2500, 0.8922], [0.5213, 0.7500, 0.1078], [0.9787, 0.2500, 0.6078], [0.1013, 0.2500, 0.9219], [0.1023, 0.7500, 0.6256], [0.1587, 0.7500, 0.2274], [0.3413, 0.2500, 0.7274], [0.3977, 0.2500, 0.1256], [0.3987, 0.7500, 0.4219], [0.6013, 0.2500, 0.5781], [0.6023, 0.7500, 0.8744], [0.6587, 0.7500, 0.2726], [0.8413, 0.2500, 0.7726], [0.8977, 0.2500, 0.3744], [0.8987, 0.7500, 0.0781]]}

[4]
{"formula": "TbTeNO", "functional": "PBE", "state": "optimized geometry", "total_energy_ev_per_atom": -6.37, "polymorph_energy_ev_per_fu": 1.525, "vol_a3_per_cell": 145.1, "lattice_angstrom": [[4.5171, 0.0000, 0.0000], [0.0000, 4.5171, 0.0000], [0.0000, 0.0000, 7.1128]], "species": ["Tb", "Tb", "Te", "Te", "N", "N", "O", "O"], "frac_coords": [[0.2500, 0.2500, 0.1195], [0.7500, 0.7500, 0.8805], [0.2500, 0.7500, 0.5000], [0.7500, 0.2500, 0.5000], [0.2500, 0.2500, 0.4461], [0.7500, 0.7500, 0.5539], [0.2500, 0.7500, 0.0000], [0.7500, 0.2500, 0.0000]]}

[5]
{"formula": "GdCoNiP2", "functional": "PBE", "state": "optimized geometry", "total_energy_ev_per_atom": -6.63, "vol_a3_per_cell": 70.3, "lattice_angstrom": [[-1.9325, 1.9325, 4.7064], [1.9325, -1.9325, 4.7064], [1.9325, 1.9325, -4.7064]], "species": ["Gd", "Co", "Ni", "P", "P"], "frac_coords": [[0.0000, 0.0000, 0.0000], [0.7500, 0.2500, 0.5000], [0.2500, 0.7500, 0.5000], [0.3743, 0.3743, 0.0000], [0.6257, 0.6257, 0.0000]]}

[6]
{"formula": "NdScSb", "functional": "PBE", "state": "optimized geometry", "total_energy_ev_per_atom": -5.95, "polymorph_energy_ev_per_fu": 0.000, "vol_a3_per_cell": 163.4, "lattice_angstrom": [[4.4258, 0.0000, 0.0000], [0.0000, 4.4258, 0.0000], [0.0000, 0.0000, 8.3418]], "species": ["Nd", "Nd", "Sc", "Sc", "Sb", "Sb"], "frac_coords": [[0.2500, 0.2500, 0.1501], [0.7500, 0.7500, 0.8499], [0.2500, 0.7500, 0.5000], [0.7500, 0.2500, 0.5000], [0.2500, 0.2500, 0.7541], [0.7500, 0.7500, 0.2459]]}

[7]
{"formula": "LuZnPd", "functional": "PBE", "state": "optimized geometry", "total_energy_ev_per_atom": -4.33, "polymorph_energy_ev_per_fu": 0.273, "ef_mev_per_atom": -675, "vol_a3_per_cell": 166.9, "lattice_angstrom": [[7.1356, 0.0000, 0.0000], [-3.5678, 6.1796, 0.0000], [0.0000, 0.0000, 3.7850]], "species": ["Lu", "Lu", "Lu", "Zn", "Zn", "Zn", "Pd", "Pd", "Pd"], "frac_coords": [[0.0000, 0.5953, 0.0000], [0.4047, 0.4047, 0.0000], [0.5953, 0.0000, 0.0000], [0.0000, 0.0000, 0.0000], [0.3333, 0.6667, 0.5000], [0.6667, 0.3333, 0.5000], [0.0000, 0.2564, 0.5000], [0.2564, 0.0000, 0.5000], [0.7436, 0.7436, 0.5000]]}

[8]
{"formula": "Na2Mg2Ga2PdAu", "functional": "PBE", "state": "optimized geometry", "total_energy_ev_per_atom": -2.81, "vol_a3_per_cell": 144.4, "lattice_angstrom": [[4.6666, 0.0000, 0.0000], [0.0000, 4.6666, 0.0000], [0.0000, 0.0000, 6.6327]], "species": ["Na", "Na", "Mg", "Mg", "Ga", "Ga", "Pd", "Au"], "frac_coords": [[0.0000, 0.0000, 0.0000], [0.5000, 0.5000, 0.5000], [0.0000, 0.5000, 0.2437], [0.5000, 0.0000, 0.7563], [0.0000, 0.5000, 0.7621], [0.5000, 0.0000, 0.2379], [0.5000, 0.5000, 0.0000], [0.0000, 0.0000, 0.5000]]}

[9]
{"formula": "CsRbReSeS2", "functional": "PBE", "state": "optimized geometry", "total_energy_ev_per_atom": -5.06, "vol_a3_per_cell": 408.0, "lattice_angstrom": [[7.1008, 0.0000, 0.0000], [3.5358, 7.0888, 0.0000], [3.5478, 0.8285, 8.1065]], "species": ["Cs", "Cs", "Rb", "Rb", "Re", "Re", "Se", "Se", "S", "S", "S", "S"], "frac_coords": [[0.2182, 0.3983, 0.1833], [0.7818, 0.6017, 0.8167], [0.4226, 0.7990, 0.3636], [0.5774, 0.2010, 0.6364], [0.1023, 0.9403, 0.8456], [0.8977, 0.0597, 0.1544], [0.1023, 0.1733, 0.6124], [0.8977, 0.8267, 0.3876], [0.2598, 0.9953, 0.9964], [0.2797, 0.6428, 0.7757], [0.7203, 0.3572, 0.2243], [0.7402, 0.0047, 0.0036]]}

[10]
{"formula": "Zr3CdTc2", "functional": "PBE", "state": "optimized geometry", "total_energy_ev_per_atom": -8.20, "ef_mev_per_atom": -320, "vol_a3_per_cell": 116.3, "lattice_angstrom": [[3.3332, 0.0000, 0.0000], [0.0000, 3.3332, 0.0000], [0.0000, 0.0000, 10.4653]], "species": ["Zr", "Zr", "Zr", "Cd", "Tc", "Tc"], "frac_coords": [[0.0000, 0.0000, 0.0000], [0.0000, 0.0000, 0.3048], [0.0000, 0.0000, 0.6952], [0.5000, 0.5000, 0.5000], [0.5000, 0.5000, 0.1611], [0.5000, 0.5000, 0.8389]]}

[11]
{"formula": "LiCdIr", "functional": "PBE", "state": "optimized geometry", "total_energy_ev_per_atom": -3.48, "polymorph_energy_ev_per_fu": 0.000, "vol_a3_per_cell": 48.7, "lattice_angstrom": [[0.0000, 2.8983, 2.8983], [2.8983, 0.0000, 2.8983], [2.8983, 2.8983, 0.0000]], "species": ["Li", "Cd", "Ir"], "frac_coords": [[0.0000, 0.0000, 0.0000], [0.7500, 0.7500, 0.7500], [0.2500, 0.2500, 0.2500]]}

[12]
{"formula": "Dy3Sb2Se", "functional": "PBE", "state": "optimized geometry", "total_energy_ev_per_atom": -5.61, "polymorph_energy_ev_per_fu": 0.000, "vol_a3_per_cell": 166.9, "lattice_angstrom": [[-2.1437, 3.0365, 6.4094], [2.1437, -3.0365, 6.4094], [2.1437, 3.0365, -6.4094]], "species": ["Dy", "Dy", "Dy", "Sb", "Sb", "Se"], "frac_coords": [[0.0000, 0.0000, 0.0000], [0.3393, 0.3393, 0.0000], [0.6607, 0.6607, 0.0000], [0.1688, 0.6688, 0.5000], [0.8312, 0.3312, 0.5000], [0.5000, 0.0000, 0.5000]]}

[13]
{"formula": "MgTcSbPb", "functional": "PBE", "state": "optimized geometry", "total_energy_ev_per_atom": -4.62, "polymorph_energy_ev_per_fu": 0.000, "vol_a3_per_cell": 81.6, "lattice_angstrom": [[0.0000, 3.4423, 3.4423], [3.4423, 0.0000, 3.4423], [3.4423, 3.4423, 0.0000]], "species": ["Mg", "Tc", "Sb", "Pb"], "frac_coords": [[0.0000, 0.0000, 0.0000], [0.5000, 0.5000, 0.5000], [0.7500, 0.7500, 0.7500], [0.2500, 0.2500, 0.2500]]}

[14]
{"formula": "Sc2Ga4PtAu", "functional": "PBE", "state": "optimized geometry", "total_energy_ev_per_atom": -4.99, "vol_a3_per_cell": 139.6, "lattice_angstrom": [[6.5720, 0.0000, 0.0000], [0.0000, 2.1391, 4.9646], [0.0000, -2.1391, 4.9646]], "species": ["Sc", "Sc", "Ga", "Ga", "Ga", "Ga", "Pt", "Au"], "frac_coords": [[0.0000, 0.0000, 0.0000], [0.5000, 0.1643, 0.1643], [0.1982, 0.7065, 0.7065], [0.2930, 0.4567, 0.4567], [0.7070, 0.4567, 0.4567], [0.8018, 0.7065, 0.7065], [0.0000, 0.2855, 0.2855], [0.5000, 0.8771, 0.8771]]}

[15]
{"formula": "KPrMo", "functional": "PBE", "state": "optimized geometry", "total_energy_ev_per_atom": -3.97, "polymorph_energy_ev_per_fu": 0.000, "vol_a3_per_cell": 106.6, "lattice_angstrom": [[0.0000, 3.7634, 3.7634], [3.7634, 0.0000, 3.7634], [3.7634, 3.7634, 0.0000]], "species": ["K", "Pr", "Mo"], "frac_coords": [[0.0000, 0.0000, 0.0000], [0.5000, 0.5000, 0.5000], [0.2500, 0.2500, 0.2500]]}

[16]
{"formula": "NaGdB4", "functional": "PBE", "state": "optimized geometry", "total_energy_ev_per_atom": -5.47, "polymorph_energy_ev_per_fu": 0.215, "vol_a3_per_cell": 72.2, "lattice_angstrom": [[3.2001, 0.0000, 0.0000], [-1.6000, 2.7713, 0.0000], [0.0000, 0.0000, 8.1360]], "species": ["Na", "Gd", "B", "B", "B", "B"], "frac_coords": [[0.0000, 0.0000, 0.0000], [0.0000, 0.0000, 0.5000], [0.3333, 0.6667, 0.2592], [0.3333, 0.6667, 0.7408], [0.6667, 0.3333, 0.2592], [0.6667, 0.3333, 0.7408]]}

[17]
{"formula": "ScBi2Pd", "functional": "PBE", "state": "optimized geometry", "total_energy_ev_per_atom": -5.08, "vol_a3_per_cell": 96.2, "lattice_angstrom": [[0.0000, 3.6363, 3.6363], [3.6363, 0.0000, 3.6363], [3.6363, 3.6363, 0.0000]], "species": ["Sc", "Bi", "Bi", "Pd"], "frac_coords": [[0.0000, 0.0000, 0.0000], [0.5000, 0.5000, 0.5000], [0.7500, 0.7500, 0.7500], [0.2500, 0.2500, 0.2500]]}

[18]
{"formula": "ZnSnSO", "functional": "PBE", "state": "optimized geometry", "total_energy_ev_per_atom": -4.36, "polymorph_energy_ev_per_fu": 0.666, "vol_a3_per_cell": 136.8, "lattice_angstrom": [[4.0440, 0.0000, 0.0000], [0.0000, 4.0440, 0.0000], [0.0000, 0.0000, 8.3622]], "species": ["Zn", "Zn", "Sn", "Sn", "S", "S", "O", "O"], "frac_coords": [[0.2500, 0.2500, 0.0570], [0.7500, 0.7500, 0.9430], [0.2500, 0.2500, 0.6817], [0.7500, 0.7500, 0.3183], [0.2500, 0.2500, 0.3584], [0.7500, 0.7500, 0.6416], [0.2500, 0.7500, 0.0000], [0.7500, 0.2500, 0.0000]]}

[19]
{"formula": "ErPdAu", "functional": "PBE", "state": "optimized geometry", "total_energy_ev_per_atom": -4.83, "polymorph_energy_ev_per_fu": 0.680, "ef_mev_per_atom": -496, "vol_a3_per_cell": 71.2, "lattice_angstrom": [[0.0000, 3.2897, 3.2897], [3.2897, 0.0000, 3.2897], [3.2897, 3.2897, 0.0000]], "species": ["Er", "Pd", "Au"], "frac_coords": [[0.0000, 0.0000, 0.0000], [0.2500, 0.2500, 0.2500], [0.7500, 0.7500, 0.7500]]}

[20]
{"formula": "Mo4PbN3", "functional": "PBE", "state": "optimized geometry", "total_energy_ev_per_atom": -8.93, "vol_a3_per_cell": 210.5, "lattice_angstrom": [[3.2729, 0.0000, 0.0000], [-1.6365, 2.8344, 0.0000], [0.0000, 0.0000, 22.6919]], "species": ["Mo", "Mo", "Mo", "Mo", "Mo", "Mo", "Mo", "Mo", "Pb", "Pb", "N", "N", "N", "N", "N", "N"], "frac_coords": [[0.0000, 0.0000, 0.1421], [0.0000, 0.0000, 0.3579], [0.0000, 0.0000, 0.6421], [0.0000, 0.0000, 0.8579], [0.3333, 0.6667, 0.0551], [0.3333, 0.6667, 0.4449], [0.6667, 0.3333, 0.5551], [0.6667, 0.3333, 0.9449], [0.3333, 0.6667, 0.2500], [0.6667, 0.3333, 0.7500], [0.0000, 0.0000, 0.0000], [0.0000, 0.0000, 0.5000], [0.3333, 0.6667, 0.6101], [0.3333, 0.6667, 0.8899], [0.6667, 0.3333, 0.1101], [0.6667, 0.3333, 0.3899]]}